1.
! TaBeBr2 PBE relaxed; values from VASP
&SYSTEM
  ibrav = 0, nat = 4, ntyp = 3
/
ATOMIC_SPECIES
Ta 180.95 Ta.upf
Be 9.01 Be.upf
Br 79.90 Br.upf
CELL_PARAMETERS angstrom
1.620 0.936 8.175
-1.620 0.936 8.175
0.000 -1.871 8.175
ATOMIC_POSITIONS crystal
Ta 0.000 0.000 0.000
Be 0.500 0.500 0.500
Br 0.108 0.108 0.108
Br 0.892 0.892 0.892
! E ... -4.389 eV/atom
! Total moment ... 0.000 Bohr magnetons per cell
! Formation energy (no corrections) ... 1.4 eV per formula unit
! N(E_F) ... 0.807 states/eV per atom

***

2.
! Ta2BeBr PBE relaxed; values from VASP
&SYSTEM
  ibrav = 0, nat = 4, ntyp = 3
/
ATOMIC_SPECIES
Ta 180.95 Ta.upf
Be 9.01 Be.upf
Br 79.90 Br.upf
CELL_PARAMETERS angstrom
-1.507 2.340 4.753
1.507 -2.340 4.753
1.507 2.340 -4.753
ATOMIC_POSITIONS crystal
Ta 0.000 0.000 0.000
Ta 0.713 0.213 0.500
Be 0.220 0.720 0.500
Br 0.485 0.485 0.000
! E ... -6.640 eV/atom
! Total moment ... 0.000 Bohr magnetons per cell
! Formation energy (no corrections) ... 2.5 eV per formula unit
! N(E_F) ... 0.961 states/eV per atom

***

3.
! Ta2BeBr PBE relaxed; values from VASP
&SYSTEM
  ibrav = 0, nat = 4, ntyp = 3
/
ATOMIC_SPECIES
Ta 180.95 Ta.upf
Be 9.01 Be.upf
Br 79.90 Br.upf
CELL_PARAMETERS angstrom
-1.937 1.937 4.402
1.937 -1.937 4.402
1.937 1.937 -4.402
ATOMIC_POSITIONS crystal
Ta 0.000 0.000 0.000
Ta 0.750 0.250 0.500
Be 0.250 0.750 0.500
Br 0.500 0.500 0.000
! E ... -6.433 eV/atom
! Total moment ... 0.000 Bohr magnetons per cell
! Formation energy (no corrections) ... 3.4 eV per formula unit
! N(E_F) ... 0.924 states/eV per atom

***

Table of energy relative to the lowest polymorph listed for this composition (kJ per mole of atoms), in record order: 43.89; 41.13; 61.15